# 1
CaMg2Tl | GGA-PBE | relaxed

CIF file:
```
data_CaMg2Tl
_chemical_formula_sum 'Ca1 Mg2 Tl1'
_space_group_name_H-M_alt 'P 1'
_space_group_IT_number 1
_space_group_name_Hall 'P 1'
_cell_length_a 5.263
_cell_length_b 5.263
_cell_length_c 5.263
_cell_angle_alpha 60.00
_cell_angle_beta 60.00
_cell_angle_gamma 60.00
loop_
_atom_site_label
_atom_site_type_symbol
_atom_site_fract_x
_atom_site_fract_y
_atom_site_fract_z
_atom_site_occupancy
Mg1 Mg 0.250 0.250 0.250 1
Mg2 Mg 0.750 0.750 0.750 1
Tl1 Tl 0.500 0.500 0.500 1
Ca1 Ca 0.000 0.000 0.000 1
```

Calculated values
Calculated formation energy = -0.08 eV/atom



# 2
Re2WCl | GGA-PBE | relaxed

CIF file:
```
data_Re2WCl
_chemical_formula_sum 'Re2 W1 Cl1'
_space_group_name_H-M_alt 'P 1'
_space_group_IT_number 1
_space_group_name_Hall 'P 1'
_cell_length_a 5.074
_cell_length_b 5.074
_cell_length_c 5.074
_cell_angle_alpha 135.86
_cell_angle_beta 135.86
_cell_angle_gamma 64.20
loop_
_atom_site_label
_atom_site_type_symbol
_atom_site_fract_x
_atom_site_fract_y
_atom_site_fract_z
_atom_site_occupancy
Cl1 Cl 0.750 0.250 0.500 1
Re1 Re 0.000 0.000 0.000 1
Re2 Re 0.250 0.750 0.500 1
W1 W 0.500 0.500 0.000 1
```

Calculated values
Formation energy without anion corrections = 1.3502 eV/atom



# 3
Pm12PrTm7 | GGA-PBE | relaxed

CIF file:
```
data_Pm12PrTm7
_chemical_formula_sum 'Pm12 Pr1 Tm7'
_space_group_name_H-M_alt 'P 1'
_space_group_IT_number 1
_space_group_name_Hall 'P 1'
_cell_length_a 8.827
_cell_length_b 8.827
_cell_length_c 8.827
_cell_angle_alpha 98.16
_cell_angle_beta 98.16
_cell_angle_gamma 98.16
loop_
_atom_site_label
_atom_site_type_symbol
_atom_site_fract_x
_atom_site_fract_y
_atom_site_fract_z
_atom_site_occupancy
Pm1 Pm 0.763 0.237 0.500 1
Pm2 Pm 0.763 0.500 0.237 1
Pm3 Pm 0.359 0.092 0.359 1
Pm4 Pm 0.908 0.641 0.641 1
Pm5 Pm 0.500 0.237 0.763 1
Pm6 Pm 0.641 0.641 0.908 1
Pm7 Pm 0.359 0.359 0.092 1
Pm8 Pm 0.500 0.763 0.237 1
Pm9 Pm 0.092 0.359 0.359 1
Pm10 Pm 0.641 0.908 0.641 1
Pm11 Pm 0.237 0.500 0.763 1
Pm12 Pm 0.237 0.763 0.500 1
Pr1 Pr 0.000 0.000 0.000 1
Tm1 Tm 0.100 0.660 0.100 1
Tm2 Tm 0.340 0.900 0.900 1
Tm3 Tm 0.900 0.900 0.340 1
Tm4 Tm 0.500 0.500 0.500 1
Tm5 Tm 0.100 0.100 0.660 1
Tm6 Tm 0.660 0.100 0.100 1
Tm7 Tm 0.900 0.340 0.900 1
```

Calculated values
Calculated formation energy = 0.10 eV/atom



# 4
RbAlRe2Bi | GGA-PBE | relaxed

CIF file:
```
data_RbAlRe2Bi
_chemical_formula_sum 'Rb1 Al1 Re2 Bi1'
_space_group_name_H-M_alt 'P 1'
_space_group_IT_number 1
_space_group_name_Hall 'P 1'
_cell_length_a 5.232
_cell_length_b 5.747
_cell_length_c 5.232
_cell_angle_alpha 90.00
_cell_angle_beta 90.00
_cell_angle_gamma 90.00
loop_
_atom_site_label
_atom_site_type_symbol
_atom_site_fract_x
_atom_site_fract_y
_atom_site_fract_z
_atom_site_occupancy
Re1 Re 0.000 0.000 0.500 1
Re2 Re 0.500 0.000 0.000 1
Bi1 Bi 0.000 0.000 0.000 1
Rb1 Rb 0.500 0.500 0.500 1
Al1 Al 0.000 0.500 0.000 1
```

Calculated values
Calculated formation energy = 2.23 eV/atom



# 5
NdHo4Hg | GGA-PBE | relaxed

CIF file:
```
data_NdHo4Hg
_chemical_formula_sum 'Nd2 Ho8 Hg2'
_space_group_name_H-M_alt 'P 1'
_space_group_IT_number 1
_space_group_name_Hall 'P 1'
_cell_length_a 6.338
_cell_length_b 8.954
_cell_length_c 8.234
_cell_angle_alpha 113.29
_cell_angle_beta 100.09
_cell_angle_gamma 112.68
loop_
_atom_site_label
_atom_site_type_symbol
_atom_site_fract_x
_atom_site_fract_y
_atom_site_fract_z
_atom_site_occupancy
Nd1 Nd 0.347 0.597 0.194 1
Nd2 Nd 0.653 0.403 0.806 1
Ho1 Ho 0.035 0.165 0.767 1
Ho2 Ho 0.760 0.713 0.625 1
Ho3 Ho 0.232 0.603 0.767 1
Ho4 Ho 0.365 0.912 0.625 1
Ho5 Ho 0.635 0.088 0.375 1
Ho6 Ho 0.768 0.397 0.233 1
Ho7 Ho 0.240 0.287 0.375 1
Ho8 Ho 0.965 0.835 0.233 1
Hg1 Hg 0.251 0.001 0.001 1
Hg2 Hg 0.749 0.999 0.999 1
```

Calculated values
Calculated formation energy = -0.05 eV/atom



# 6
La3Ag4Au2 | GGA-PBE | relaxed

CIF file:
```
data_La3Ag4Au2
_chemical_formula_sum 'La3 Ag4 Au2'
_space_group_name_H-M_alt 'P 1'
_space_group_IT_number 1
_space_group_name_Hall 'P 1'
_cell_length_a 4.829
_cell_length_b 6.071
_cell_length_c 9.159
_cell_angle_alpha 113.33
_cell_angle_beta 90.00
_cell_angle_gamma 113.44
loop_
_atom_site_label
_atom_site_type_symbol
_atom_site_fract_x
_atom_site_fract_y
_atom_site_fract_z
_atom_site_occupancy
La1 La 0.675 0.350 0.654 1
La2 La 0.000 0.000 0.000 1
La3 La 0.325 0.650 0.346 1
Ag1 Ag 0.725 0.451 0.058 1
Ag2 Ag 0.275 0.549 0.942 1
Ag3 Ag 0.964 0.927 0.626 1
Ag4 Ag 0.036 0.073 0.374 1
Au1 Au 0.601 0.202 0.269 1
Au2 Au 0.399 0.798 0.731 1
```

Calculated values
Calculated formation energy = -0.48 eV/atom



# 7
HoPtAu2 | GGA-PBE | relaxed

CIF file:
```
data_HoPtAu2
_chemical_formula_sum 'Ho1 Pt1 Au2'
_space_group_name_H-M_alt 'P 1'
_space_group_IT_number 1
_space_group_name_Hall 'P 1'
_cell_length_a 4.794
_cell_length_b 4.794
_cell_length_c 4.794
_cell_angle_alpha 60.00
_cell_angle_beta 60.00
_cell_angle_gamma 60.00
loop_
_atom_site_label
_atom_site_type_symbol
_atom_site_fract_x
_atom_site_fract_y
_atom_site_fract_z
_atom_site_occupancy
Au1 Au 0.250 0.250 0.250 1
Au2 Au 0.750 0.750 0.750 1
Ho1 Ho 0.000 0.000 0.000 1
Pt1 Pt 0.500 0.500 0.500 1
```

Calculated values
Calculated formation energy = -0.68 eV/atom



# 8
NaSr2Cd4In3 | GGA-PBE | relaxed

CIF file:
```
data_NaSr2Cd4In3
_chemical_formula_sum 'Na1 Sr2 Cd4 In3'
_space_group_name_H-M_alt 'P 1'
_space_group_IT_number 1
_space_group_name_Hall 'P 1'
_cell_length_a 4.818
_cell_length_b 4.818
_cell_length_c 12.538
_cell_angle_alpha 90.00
_cell_angle_beta 90.00
_cell_angle_gamma 90.00
loop_
_atom_site_label
_atom_site_type_symbol
_atom_site_fract_x
_atom_site_fract_y
_atom_site_fract_z
_atom_site_occupancy
Na1 Na 0.500 0.500 0.500 1
Sr1 Sr 0.500 0.000 0.232 1
Sr2 Sr 0.000 0.500 0.768 1
Cd1 Cd 0.500 0.500 0.000 1
Cd2 Cd 0.000 0.000 0.000 1
Cd3 Cd 0.500 0.000 0.641 1
Cd4 Cd 0.000 0.500 0.359 1
In1 In 0.000 0.000 0.500 1
In2 In 0.500 0.000 0.866 1
In3 In 0.000 0.500 0.134 1
```

Calculated values
Calculated formation energy = -0.24 eV/atom



# 9
SiHg | GGA-PBE | relaxed

CIF file:
```
data_SiHg
_chemical_formula_sum 'Si8 Hg8'
_space_group_name_H-M_alt 'P 1'
_space_group_IT_number 1
_space_group_name_Hall 'P 1'
_cell_length_a 10.275
_cell_length_b 10.275
_cell_length_c 4.486
_cell_angle_alpha 90.00
_cell_angle_beta 90.00
_cell_angle_gamma 90.00
loop_
_atom_site_label
_atom_site_type_symbol
_atom_site_fract_x
_atom_site_fract_y
_atom_site_fract_z
_atom_site_occupancy
Si1 Si 0.288 0.787 0.000 1
Si2 Si 0.712 0.213 0.000 1
Si3 Si 0.213 0.288 0.000 1
Si4 Si 0.787 0.712 0.000 1
Si5 Si 0.788 0.287 0.500 1
Si6 Si 0.212 0.713 0.500 1
Si7 Si 0.713 0.788 0.500 1
Si8 Si 0.287 0.212 0.500 1
Hg1 Hg 0.470 0.249 0.000 1
Hg2 Hg 0.530 0.751 0.000 1
Hg3 Hg 0.751 0.470 0.000 1
Hg4 Hg 0.249 0.530 0.000 1
Hg5 Hg 0.970 0.749 0.500 1
Hg6 Hg 0.030 0.251 0.500 1
Hg7 Hg 0.251 0.970 0.500 1
Hg8 Hg 0.749 0.030 0.500 1
```

Calculated values
Formation energy without anion corrections = 0.4332 eV/atom



# 10
Nd2MgZn | GGA-PBE | relaxed

CIF file:
```
data_Nd2MgZn
_chemical_formula_sum 'Nd2 Mg1 Zn1'
_space_group_name_H-M_alt 'P 1'
_space_group_IT_number 1
_space_group_name_Hall 'P 1'
_cell_length_a 5.342
_cell_length_b 5.342
_cell_length_c 5.342
_cell_angle_alpha 60.00
_cell_angle_beta 60.00
_cell_angle_gamma 60.00
loop_
_atom_site_label
_atom_site_type_symbol
_atom_site_fract_x
_atom_site_fract_y
_atom_site_fract_z
_atom_site_occupancy
Zn1 Zn 0.500 0.500 0.500 1
Nd1 Nd 0.250 0.250 0.250 1
Nd2 Nd 0.750 0.750 0.750 1
Mg1 Mg 0.000 0.000 0.000 1
```

Calculated values
Calculated formation energy = -0.18 eV/atom



# 11
Cr3MoN | GGA-PBE | relaxed

CIF file:
```
data_Cr3MoN
_chemical_formula_sum 'Cr3 Mo1 N1'
_space_group_name_H-M_alt 'P 1'
_space_group_IT_number 1
_space_group_name_Hall 'P 1'
_cell_length_a 4.431
_cell_length_b 4.431
_cell_length_c 4.431
_cell_angle_alpha 90.00
_cell_angle_beta 90.00
_cell_angle_gamma 90.00
loop_
_atom_site_label
_atom_site_type_symbol
_atom_site_fract_x
_atom_site_fract_y
_atom_site_fract_z
_atom_site_occupancy
Cr1 Cr 0.000 0.500 0.000 1
Cr2 Cr 0.000 0.000 0.500 1
Cr3 Cr 0.500 0.000 0.000 1
Mo1 Mo 0.000 0.000 0.000 1
N1 N 0.500 0.500 0.500 1
```

Calculated values
Formation energy without anion corrections = 2.8079 eV/atom



# 12
Ho2PdBr | GGA-PBE | relaxed

CIF file:
```
data_Ho2PdBr
_chemical_formula_sum 'Ho2 Pd1 Br1'
_space_group_name_H-M_alt 'P 1'
_space_group_IT_number 1
_space_group_name_Hall 'P 1'
_cell_length_a 4.226
_cell_length_b 4.226
_cell_length_c 8.732
_cell_angle_alpha 76.00
_cell_angle_beta 76.00
_cell_angle_gamma 60.00
loop_
_atom_site_label
_atom_site_type_symbol
_atom_site_fract_x
_atom_site_fract_y
_atom_site_fract_z
_atom_site_occupancy
Br1 Br 0.000 0.000 0.000 1
Ho1 Ho 0.111 0.111 0.666 1
Ho2 Ho 0.889 0.889 0.334 1
Pd1 Pd 0.500 0.500 0.500 1
```

Calculated values
Formation energy without anion corrections = -0.9526 eV/atom



Number 1: energy -0.1451 Ry/atom. Number 2: energy -0.6302 Ry/atom. Number 3: energy -0.3348 Ry/atom. Number 4: energy -0.3283 Ry/atom. Number 5: energy -0.2900 Ry/atom. Number 6: energy -0.3026 Ry/atom. Number 7: energy -0.3659 Ry/atom. Number 8: energy -0.1395 Ry/atom. Number 9: energy -0.1785 Ry/atom. Number 10: energy -0.2413 Ry/atom. Number 11: energy -0.4996 Ry/atom. Number 12: energy -0.3644 Ry/atom.